Computed, not measured: a geometry-optimized TiW2S structure at the GGA-PBE level of DFT.

- Raw total energy: -9.112 eV per atom
- Energy relative to the elements, uncorrected: 0.3703 eV per atom

Cell: 3.6753 3.6753 19.6709 Å, 90.00 90.00 90.00°
Space group I-42d (No. 122)
Unique sites:
1 Ti 0.0000 0.0000 0.0000 (multiplicity 4)
2 W 0.2502 0.2500 0.1250 (multiplicity 8)
3 S 0.0000 0.0000 0.5000 (multiplicity 4)